1.
LiPuMgN3 | PBE-GGA | relaxed

Calculated values
space-group type: No. 11

Cell lengths 6.3592, 3.3577, 8.9977 Å; angles 90.00, 109.49, 90.00 degrees
Element x y z (fractional)
Li 0.1332 0.2500 0.1026
Li 0.8668 0.7500 0.8974
Pu 0.0671 0.7500 0.3522
Pu 0.9329 0.2500 0.6478
Mg 0.4338 0.2500 0.6148
Mg 0.5662 0.7500 0.3852
N 0.0452 0.2500 0.8639
N 0.1781 0.7500 0.5906
N 0.3153 0.2500 0.3534
N 0.6847 0.7500 0.6466
N 0.8219 0.2500 0.4094
N 0.9548 0.7500 0.1361


2.
LiPu2Mg3N6 | PBE-GGA | relaxed

Calculated values
space-group type: No. 12

Cell lengths 6.8664, 6.8664, 6.5362 Å; angles 102.96, 102.96, 28.38 degrees
Element x y z (fractional)
Li 0.0000 0.0000 0.0000
Pu 0.3403 0.3403 0.6859
Pu 0.6597 0.6597 0.3141
Mg 0.0000 0.0000 0.5000
Mg 0.3391 0.3391 0.1598
Mg 0.6609 0.6609 0.8402
N 0.1662 0.1662 0.0909
N 0.1743 0.1743 0.5810
N 0.4925 0.4925 0.7301
N 0.5075 0.5075 0.2699
N 0.8257 0.8257 0.4190
N 0.8338 0.8338 0.9091


3.
Li2MgReN4 | PBE-GGA | relaxed

Calculated values
space-group type: No. 82

Cell lengths 4.7443, 4.7443, 9.2301 Å; angles 90.00, 90.00, 90.00 degrees
Element x y z (fractional)
Li 0.0000 0.0000 0.0000
Li 0.0000 0.5000 0.2500
Li 0.5000 0.0000 0.7500
Li 0.5000 0.5000 0.5000
Mg 0.0000 0.0000 0.5000
Mg 0.5000 0.5000 0.0000
Re 0.0000 0.5000 0.7500
Re 0.5000 0.0000 0.2500
N 0.2193 0.2740 0.6357
N 0.2260 0.7193 0.8643
N 0.2740 0.7807 0.3643
N 0.2807 0.2260 0.1357
N 0.7193 0.7740 0.1357
N 0.7260 0.2193 0.3643
N 0.7740 0.2807 0.8643
N 0.7807 0.7260 0.6357


4.
LiMg2RhN | PBE-GGA | relaxed

Calculated values
space-group type: No. 123

Cell lengths 4.2060, 4.2060, 3.9034 Å; angles 90.00, 90.00, 90.00 degrees
Element x y z (fractional)
Li 0.0000 0.0000 0.0000
Mg 0.0000 0.5000 0.5000
Mg 0.5000 0.0000 0.5000
Rh 0.5000 0.5000 0.0000
N 0.0000 0.0000 0.5000


Number 1: E_form (uncorrected) -0.6419 eV/atom. Number 2: E_form (uncorrected) -0.8495 eV/atom. Number 3: E_form (uncorrected) -0.3556 eV/atom. Number 4: E_form (uncorrected) -0.2177 eV/atom.